[1]
Density functional theory data (GGA-PBE) for a relaxed structure of Nd2YTl4.

Values from the calculation:
The space group is I4/mmm, No. 139. Its total moment is 0.0 μB/f.u. The calculation puts the energy relative to the lowest polymorph listed for this composition at 2.57 eV/f.u. The density of states at the Fermi level is 1.427 states/eV/atom.

Cell: 8.9410 8.9410 8.9410 Å, 142.09 142.09 54.69°
Positions (direct):
Nd (0.1028, 0.1028, 0.0000)
Nd (0.8972, 0.8972, 0.0000)
Y (0.5000, 0.5000, 0.0000)
Tl (0.0000, 0.5000, 0.5000)
Tl (0.3059, 0.3059, 0.0000)
Tl (0.5000, 0.0000, 0.5000)
Tl (0.6941, 0.6941, 0.0000)

---

[2]
Density functional theory data (GGA-PBE) for a relaxed structure of NdYTl.

Values from the calculation:
The space group is I4mm, No. 107. Its total moment is 0.0 μB/f.u. The calculation puts the energy relative to the lowest polymorph listed for this composition at 0.16 eV/f.u. The density of states at the Fermi level is 1.239 states/eV/atom.

Cell: 7.3525 7.3525 7.3525 Å, 151.08 151.08 41.35°
Positions (direct):
Nd (0.0000, 0.0000, 0.0000)
Y (0.3095, 0.3095, 0.0000)
Tl (0.6614, 0.6614, 0.0000)